Entry 1:
K2BeRu at its PBEsol-relaxed geometry. Source: Alexandria, functional SCAN.

POSCAR file:
```
K2BeRu
1.0
-1.897 1.897 5.335
1.897 -1.897 5.335
1.897 1.897 -5.335
K Be Ru
2 1 1
direct
0.250 0.750 0.500 K
0.750 0.250 0.500 K
0.000 0.000 0.000 Be
0.500 0.500 0.000 Ru
```

- Energy of formation from the pure elements: 1210 meV per atom
- Total magnetic moment: 0.00 μB per formula unit
- Calculated volume: 19.202 Å³ per atom


Entry 2:
K2BeRu at its PBEsol-relaxed geometry. Source: Alexandria, functional SCAN.

POSCAR file:
```
K2BeRu
1.0
-1.601 1.622 9.819
1.601 -1.622 9.819
1.601 1.622 -9.819
K Be Ru
2 1 1
direct
0.140 0.140 0.000 K
0.860 0.860 0.000 K
0.000 0.500 0.500 Be
0.500 0.000 0.500 Ru
```

- Energy of formation from the pure elements: 455 meV per atom
- Total magnetic moment: 0.62 μB per formula unit
- Calculated volume: 25.502 Å³ per atom


Entry 3:
K4BeRu at its PBEsol-relaxed geometry. Source: Alexandria, functional SCAN.

POSCAR file:
```
K4BeRu
1.0
0.000 4.610 4.610
4.610 0.000 4.610
4.610 4.610 0.000
K Be Ru
4 1 1
direct
0.125 0.125 0.125 K
0.125 0.125 0.625 K
0.125 0.625 0.125 K
0.625 0.125 0.125 K
0.750 0.750 0.750 Be
0.500 0.500 0.500 Ru
```

- Energy of formation from the pure elements: 1398 meV per atom
- Total magnetic moment: 1.96 μB per formula unit
- Calculated volume: 32.665 Å³ per atom


Entry 4:
KBeRu2 at its PBEsol-relaxed geometry. Source: Alexandria, functional SCAN.

POSCAR file:
```
KBeRu2
1.0
2.701 -4.720 0.000
2.701 4.720 0.000
-1.064 0.000 2.373
K Be Ru
1 1 2
direct
0.000 0.000 0.000 K
0.500 0.500 0.000 Be
0.000 0.500 0.500 Ru
0.500 0.000 0.500 Ru
```

- Energy of formation from the pure elements: 1259 meV per atom
- Total magnetic moment: 0.00 μB per formula unit
- Calculated volume: 15.127 Å³ per atom


Entry 5:
KBeSb2 at its PBEsol-relaxed geometry. Source: Alexandria, functional SCAN.

POSCAR file:
```
KBeSb2
1.0
-1.865 1.902 7.724
1.865 -1.902 7.724
1.865 1.902 -7.724
K Be Sb
1 1 2
direct
0.000 0.000 0.000 K
0.234 0.734 0.500 Be
0.344 0.344 0.000 Sb
0.691 0.191 0.500 Sb
```

- Total magnetic moment: 0.00 μB per formula unit
- Energy relative to the elements, uncorrected: 0.110 eV per atom
- Calculated volume: 27.393 Å³ per atom


Entry 6:
KBe2Sb at its PBEsol-relaxed geometry. Source: Alexandria, functional SCAN.

POSCAR file:
```
KBe2Sb
1.0
-2.010 2.979 3.969
2.010 -2.979 3.969
2.010 2.979 -3.969
K Be Sb
1 2 1
direct
0.000 0.000 0.000 K
0.326 0.826 0.500 Be
0.674 0.174 0.500 Be
0.500 0.500 0.000 Sb
```

- Total magnetic moment: 0.51 μB per formula unit
- Energy relative to the elements, uncorrected: 0.710 eV per atom
- Calculated volume: 23.764 Å³ per atom


Entry 7:
KBeSb2 at its PBEsol-relaxed geometry. Source: Alexandria, functional SCAN.

POSCAR file:
```
KBeSb2
1.0
4.620 0.000 0.000
0.000 4.620 0.000
0.000 0.000 4.469
K Be Sb
1 1 2
direct
0.000 0.000 0.000 K
0.500 0.500 0.000 Be
0.000 0.500 0.500 Sb
0.500 0.000 0.500 Sb
```

- Total magnetic moment: 0.03 μB per formula unit
- Energy relative to the elements, uncorrected: 0.412 eV per atom
- Calculated volume: 23.852 Å³ per atom


Entry 8:
KBe2Sb at its PBEsol-relaxed geometry. Source: Alexandria, functional SCAN.

POSCAR file:
```
KBe2Sb
1.0
1.920 1.108 6.822
-1.920 1.108 6.822
0.000 -2.217 6.822
K Be Sb
1 2 1
direct
0.000 0.000 0.000 K
0.205 0.205 0.205 Be
0.539 0.539 0.539 Be
0.807 0.807 0.807 Sb
```

- Total magnetic moment: 0.00 μB per formula unit
- Energy relative to the elements, uncorrected: 0.166 eV per atom
- Calculated volume: 21.771 Å³ per atom


Please write out number 4 again, unchanged.
KBeRu2 at its PBEsol-relaxed geometry. Source: Alexandria, functional SCAN.

POSCAR file:
```
KBeRu2
1.0
2.701 -4.720 0.000
2.701 4.720 0.000
-1.064 0.000 2.373
K Be Ru
1 1 2
direct
0.000 0.000 0.000 K
0.500 0.500 0.000 Be
0.000 0.500 0.500 Ru
0.500 0.000 0.500 Ru
```

- Energy of formation from the pure elements: 1259 meV per atom
- Total magnetic moment: 0.00 μB per formula unit
- Calculated volume: 15.127 Å³ per atom


Number 5 is which compound? KBeSb2